Entry from Alexandria: crystalline Co7P6H4O24 at its relaxed geometry (PBE with a Hubbard U).

```
data_Co7P6H4O24
_cell_length_a 6.533
_cell_length_b 7.933
_cell_length_c 9.599
_cell_angle_alpha 104.52
_cell_angle_beta 108.97
_cell_angle_gamma 101.35
_symmetry_space_group_name_H-M 'P -1'
_symmetry_Int_Tables_number 2
_symmetry_space_group_name_Hall '-P 1'
loop_
_atom_site_label
_atom_site_fract_x
_atom_site_fract_y
_atom_site_fract_z
_atom_site_occupancy
Co1 0.000 0.000 0.000 1
Co2 0.051 0.713 0.514 1
Co3 0.288 0.811 0.287 1
Co4 0.387 0.458 0.109 1
P1 0.085 0.581 0.826 1
P2 0.225 0.146 0.779 1
P3 0.413 0.233 0.373 1
H1 0.175 0.873 0.809 1
H2 0.374 0.423 0.563 1
O1 0.016 0.173 0.664 1
O2 0.054 0.544 0.653 1
O3 0.109 0.786 0.901 1
O4 0.127 0.541 0.165 1
O5 0.203 0.933 0.725 1
O6 0.223 0.188 0.946 1
O7 0.263 0.051 0.240 1
O8 0.276 0.298 0.477 1
O9 0.302 0.537 0.913 1
O10 0.377 0.793 0.510 1
O11 0.449 0.245 0.773 1
O12 0.480 0.386 0.311 1
```

As for the crystal system: triclinic. The density of states at the Fermi level is 0.00 states/eV per cell. The total energy comes out at -270.9 eV for the cell shown.